Below is an optimized crystal structure of AlCd2Au4, with properties calculated at the GGA-PBE level.

Summary:
magnetization: 0.000 Bohr magnetons per cell
formation enthalpy at 0 K: -224 meV per atom

Cell lengths 4.3853, 4.3853, 14.0232 Å; angles 90.00, 90.00, 90.00 degrees
Space group I4/mmm (No. 139)
One atom of each set of equivalent atoms:
Al (0.0000, 0.0000, 0.0000)
Cd (0.0000, 0.0000, 0.2523)
Au (0.0000, 0.5000, 0.1052)

***

Below is an optimized crystal structure of Dy6Hg5Pt, with properties calculated at the GGA-PBE level.

Summary:
magnetization: 0.000 Bohr magnetons per cell
formation enthalpy at 0 K: -607 meV per atom

Cell lengths 5.1936, 15.6007, 7.3830 Å; angles 90.00, 90.00, 90.00 degrees
Space group Cmmm (No. 65)
One atom of each set of equivalent atoms:
Dy (0.0000, 0.0000, 0.2338)
Dy (0.0000, 0.3413, 0.2434)
Hg (0.0000, 0.1697, 0.5000)
Hg (0.0000, 0.1757, 0.0000)
Hg (0.0000, 0.5000, 0.5000)
Pt (0.0000, 0.5000, 0.0000)

***

Below is an optimized crystal structure of YZnSiC2, with properties calculated at the GGA-PBE level.

Summary:
uncorrected formation energy: 472 kJ/mol of formula units
magnetization: 0.000 Bohr magnetons per cell

Cell lengths 3.9320, 3.9320, 4.5081 Å; angles 90.00, 90.00, 90.00 degrees
Space group P4/mmm (No. 123)
One atom of each set of equivalent atoms:
Y (0.0000, 0.0000, 0.0000)
Zn (0.5000, 0.5000, 0.0000)
Si (0.5000, 0.5000, 0.5000)
C (0.0000, 0.5000, 0.5000)

***

Below is an optimized crystal structure of HgSb6, with properties calculated at the GGA-PBE level.

Summary:
uncorrected formation energy: 196 kJ/mol of formula units
magnetization: 0.000 Bohr magnetons per cell

Cell lengths 8.4895, 8.4895, 8.4895 Å; angles 90.00, 90.00, 90.00 degrees
Space group Im-3m (No. 229)
One atom of each set of equivalent atoms:
Hg (0.0000, 0.0000, 0.0000)
Sb (0.0000, 0.2500, 0.5000)

***

Below is an optimized crystal structure of NaYTa2, with properties calculated at the GGA-PBE level.

Summary:
magnetization: 0.000 Bohr magnetons per cell
formation enthalpy at 0 K: 1246 meV per atom

Cell lengths 7.0515, 7.0515, 7.0515 Å; angles 90.00, 90.00, 90.00 degrees
Space group Fm-3m (No. 225)
One atom of each set of equivalent atoms:
Na (0.0000, 0.0000, 0.0000)
Y (0.0000, 0.0000, 0.5000)
Ta (0.2500, 0.2500, 0.2500)

***

Below is an optimized crystal structure of PrMgInPd, with properties calculated at the GGA-PBE level.

Summary:
magnetization: 0.000 Bohr magnetons per cell
formation enthalpy at 0 K: -508 meV per atom

Cell lengths 7.1901, 7.1901, 7.1901 Å; angles 90.00, 90.00, 90.00 degrees
Space group F-43m (No. 216)
One atom of each set of equivalent atoms:
Pr (0.0000, 0.0000, 0.0000)
Mg (0.0000, 0.0000, 0.5000)
In (0.2500, 0.2500, 0.2500)
Pd (0.2500, 0.2500, 0.7500)